[1]
Material: K2MnTl3I6
Method: DFT, PBE
State: relaxed

Cell lengths 8.3934, 8.3934, 8.6300 Å; angles 99.53, 99.53, 119.78 degrees
With the nearest neighbours (Å) after each atom.
Positions (direct):
K (0.3383, 0.6617, 0.0000)  6 I 3.49-3.52
K (0.6617, 0.3383, 0.0000)  6 I 3.49-3.52
Mn (0.0000, 0.0000, 0.0000)  6 I 2.96-3.06
Tl (0.1797, 0.8203, 0.5000)  6 I 3.53-3.82
Tl (0.8203, 0.1797, 0.5000)  6 I 3.53-3.82
Tl (0.5000, 0.5000, 0.5000)  6 I 3.52-3.90
I (0.9303, 0.6428, 0.7870)  1 Mn 2.96
I (0.7946, 0.7946, 0.2331)  1 Mn 3.06
I (0.0697, 0.3572, 0.2130)  1 Mn 2.96
I (0.6428, 0.9303, 0.7870)  1 Mn 2.96
I (0.2054, 0.2054, 0.7669)  1 Mn 3.06
I (0.3572, 0.0697, 0.2130)  1 Mn 2.96

Calculated values
Uncorrected formation energy: -712 meV per atom

---

[2]
Material: KMnTl2I6
Method: DFT, PBE
State: relaxed

Cell lengths 8.7589, 8.2366, 8.8647 Å; angles 59.83, 58.59, 60.40 degrees
With the nearest neighbours (Å) after each atom.
Positions (direct):
K (0.8193, 0.8165, 0.5481)  6 I 3.43-3.69
Mn (0.3212, 0.3311, 0.0148)  5 I 2.68-2.97
Tl (0.5336, 0.5226, 0.4022)  6 I 3.39-3.77
Tl (0.9965, 0.0388, 0.9484)  6 I 3.41-3.69
I (0.5561, 0.1902, 0.2670)  1 Mn 3.23, 2 Tl 3.39-3.44, 1 K 3.50
I (0.2230, 0.9967, 0.2244)  1 Mn 2.70
I (0.0127, 0.5220, 0.2467)  1 Mn 2.69
I (0.4204, 0.6618, 0.8027)  1 Mn 2.68
I (0.6509, 0.1365, 0.7941)  1 Mn 2.73
I (0.1280, 0.4455, 0.7668)  1 Mn 2.97

Calculated values
Uncorrected formation energy: -645 meV per atom

---

[3]
Material: KTmMnI6
Method: DFT, PBE
State: relaxed

Cell lengths 7.4159, 7.4159, 15.8294 Å; angles 90.00, 90.00, 120.00 degrees
With the nearest neighbours (Å) after each atom.
Positions (direct):
K (0.0000, 0.0000, 0.0000)  6 I 3.59
K (0.0000, 0.0000, 0.5000)  6 I 3.59
Tm (0.3333, 0.6667, 0.2500)  6 I 3.00
Tm (0.6667, 0.3333, 0.7500)  6 I 3.00
Mn (0.6667, 0.3333, 0.2500)  6 I 2.73
Mn (0.3333, 0.6667, 0.7500)  6 I 2.73
I (0.6466, 0.6185, 0.1475)  1 Mn 2.73, 1 Tm 3.00
I (0.9719, 0.3534, 0.1475)  1 Mn 2.73, 1 Tm 3.00
I (0.3534, 0.9719, 0.6475)  1 Mn 2.73, 1 Tm 3.00
I (0.0281, 0.6466, 0.8525)  1 Mn 2.73, 1 Tm 3.00
I (0.3815, 0.3534, 0.3525)  1 Mn 2.73, 1 Tm 3.00
I (0.9719, 0.6185, 0.3525)  1 Mn 2.73, 1 Tm 3.00
I (0.6185, 0.9719, 0.8525)  1 Mn 2.73, 1 Tm 3.00
I (0.6466, 0.0281, 0.3525)  1 Mn 2.73, 1 Tm 3.00
I (0.0281, 0.3815, 0.6475)  1 Mn 2.73, 1 Tm 3.00
I (0.3815, 0.0281, 0.1475)  1 Mn 2.73, 1 Tm 3.00
I (0.6185, 0.6466, 0.6475)  1 Mn 2.73, 1 Tm 3.00
I (0.3534, 0.3815, 0.8525)  1 Mn 2.73, 1 Tm 3.00

Calculated values
Uncorrected formation energy: -824 meV per atom

---

no.,DFT total energy (eV/atom)
1,-3.026
2,-3.075
3,-3.495